Record 1
The following is a DFT calculation (PBE-GGA) of a relaxed structure of Lu4GaAsN2.

Unit cell a=3.4684 b=3.4684 c=13.6671 alpha=90.00 beta=90.00 gamma=120.00
Positions (direct):
Lu 0.0000 0.0000 0.1468
Lu 0.0000 0.0000 0.8532
Lu 0.3333 0.6667 0.3370
Lu 0.3333 0.6667 0.6630
Ga 0.0000 0.0000 0.5000
As 0.3333 0.6667 0.0000
N 0.6667 0.3333 0.2400
N 0.6667 0.3333 0.7600

Properties
Calculated density = 10176 kg/m3
Electronic total energy = -6.56 eV per atom

=====

Record 2
The following is a DFT calculation (PBE-GGA) of a relaxed structure of LuGaAsO.

Unit cell a=3.9766 b=6.8181 c=5.8686 alpha=90.00 beta=90.00 gamma=90.00
Positions (direct):
Lu 0.0000 0.1952 0.0000
Lu 0.0000 0.8048 0.5000
Ga 0.5000 0.3979 0.6111
Ga 0.5000 0.6021 0.1111
As 0.0000 0.2134 0.4836
As 0.0000 0.7866 0.9836
O 0.5000 0.3210 0.9791
O 0.5000 0.6790 0.4791

Properties
Energy above the most stable polymorph in this dataset = 0.248 eV/atom
Calculated density = 7005 kg/m3

=====

Record 3
The following is a DFT calculation (PBE-GGA) of a relaxed structure of LuGaAsO.

Unit cell a=4.3492 b=5.6717 c=6.4169 alpha=90.00 beta=90.00 gamma=90.00
Positions (direct):
Lu 0.0000 0.1433 0.0000
Lu 0.0000 0.8567 0.5000
Ga 0.5000 0.2740 0.3637
Ga 0.5000 0.7260 0.8637
As 0.5000 0.2972 0.7553
As 0.5000 0.7028 0.2553
O 0.0000 0.1671 0.3281
O 0.0000 0.8329 0.8281

Properties
Energy above the most stable polymorph in this dataset = 0.253 eV/atom
Calculated density = 7042 kg/m3

=====

Look up the calculated density of the third one.
7042 kg/m3